[1]
! ZnAgF3, optimized geometry, DFT PBE-GGA; values from VASP
! **Crystal system**: cubic
! **N(E_F)**: 0.00 states/eV per atom
! **Energy**: -3.689 eV/atom
&SYSTEM
  ibrav = 0, nat = 5, ntyp = 3
/
ATOMIC_SPECIES
Zn 65.41 Zn.upf
Ag 107.87 Ag.upf
F 19.00 F.upf
CELL_PARAMETERS angstrom
-0.3376 2.7951 2.9338
-4.0484 -0.3592 -0.1236
0.1742 -2.9312 2.8127
ATOMIC_POSITIONS angstrom
Zn 0.0000 0.0000 0.0000
Ag -2.1059 -0.2476 2.8114
F -2.0242 -0.1796 -0.0618
F 0.0871 -1.4656 1.4064
F -0.1688 1.3976 1.4669

[2]
! Zn2Ag5F12, optimized geometry, DFT PBE-GGA; values from VASP
! **Crystal system**: monoclinic
! **N(E_F)**: 0.48 states/eV per atom
! **Energy**: -3.533 eV/atom
&SYSTEM
  ibrav = 0, nat = 19, ntyp = 3
/
ATOMIC_SPECIES
Zn 65.41 Zn.upf
Ag 107.87 Ag.upf
F 19.00 F.upf
CELL_PARAMETERS angstrom
-1.7704 -3.2578 -4.9378
6.0978 -1.8726 2.9102
-5.1272 -3.6781 4.2650
ATOMIC_POSITIONS angstrom
Zn -1.3426 -2.4707 -3.7447
Zn -0.4278 -0.7872 -1.1931
Ag 0.2372 -4.6845 3.0057
Ag 2.1261 -2.7201 1.0324
Ag -2.5636 -1.8390 2.1325
Ag -2.9260 -6.0884 1.2050
Ag -1.0370 -4.1239 -0.7683
F 3.1536 -5.4406 -1.4021
F -0.4329 -4.7138 5.0821
F -1.2660 -6.2468 2.7585
F 1.9408 -3.4622 3.5513
F 1.0408 -5.1184 1.0409
F -4.8996 -4.9388 1.1542
F 4.0998 -3.8697 1.0832
F -2.7407 -5.3463 -1.3139
F -1.8406 -3.6901 1.1964
F -0.3670 -4.0947 -2.8447
F 0.4661 -2.5616 -0.5212
F -3.9535 -3.3679 3.6395

[3]
! ZnAg5F8, optimized geometry, DFT PBE-GGA; values from VASP
! **Crystal system**: tetragonal
! **N(E_F)**: 0.94 states/eV per atom
! **Energy**: -3.432 eV/atom
&SYSTEM
  ibrav = 0, nat = 14, ntyp = 3
/
ATOMIC_SPECIES
Zn 65.41 Zn.upf
Ag 107.87 Ag.upf
F 19.00 F.upf
CELL_PARAMETERS angstrom
6.2157 0.4572 -1.8694
-3.3315 5.2674 -1.8694
-0.2304 -0.4572 6.4866
ATOMIC_POSITIONS angstrom
Zn -1.0599 3.8362 1.3739
Ag 4.1524 1.5395 3.7182
Ag 2.2110 3.2784 1.2032
Ag -0.7771 5.1599 -1.9057
Ag 1.4421 2.8623 -1.8694
Ag -0.2786 0.5568 2.4799
F -2.2264 4.0986 -0.2140
F -0.1805 2.2078 0.6487
F 0.9867 4.7528 -0.4526
F -1.0543 2.2885 3.8171
F 3.2670 2.1033 -0.4974
F -2.3660 4.6176 2.6524
F 0.5334 4.4209 2.4085
F 2.1083 1.3902 2.6285

[4]
! ZnAgF2, optimized geometry, DFT PBE-GGA; values from VASP
! **Crystal system**: trigonal
! **N(E_F)**: 0.10 states/eV per atom
! **Energy**: -3.411 eV/atom
&SYSTEM
  ibrav = 0, nat = 4, ntyp = 3
/
ATOMIC_SPECIES
Zn 65.41 Zn.upf
Ag 107.87 Ag.upf
F 19.00 F.upf
CELL_PARAMETERS angstrom
1.7195 0.0000 7.6342
-0.8598 1.4892 7.6342
-0.8598 -1.4892 7.6342
ATOMIC_POSITIONS angstrom
Zn 0.0000 0.0000 11.4513
Ag 0.0000 0.0000 0.0000
F 0.0000 0.0000 20.1673
F 0.0000 0.0000 2.7354

[5]
! Zn2Ag3F7, optimized geometry, DFT PBE-GGA; values from VASP
! **Crystal system**: tetragonal
! **Energy**: -3.624 eV/atom
&SYSTEM
  ibrav = 0, nat = 12, ntyp = 3
/
ATOMIC_SPECIES
Zn 65.41 Zn.upf
Ag 107.87 Ag.upf
F 19.00 F.upf
CELL_PARAMETERS angstrom
-1.4247 3.5382 1.4652
-0.3796 -1.6861 3.7025
10.3696 1.9431 -0.3066
ATOMIC_POSITIONS angstrom
Zn 1.9097 0.5787 0.4593
Zn 6.6556 3.2164 4.4017
Ag 5.9391 1.7998 1.4285
Ag 2.6263 1.9953 3.4326
Ag -0.9021 0.9260 2.5839
F 0.0000 0.0000 0.0000
F 6.9096 4.0789 2.5659
F 7.4321 1.4668 3.6845
F 1.6558 -0.2837 2.2952
F 1.1333 2.3284 1.1765
F 3.7924 1.1493 0.9122
F 4.7730 2.6459 3.9489

[6]
! Zr2ZnAg2F14, optimized geometry, DFT PBE-GGA; values from VASP
! **Crystal system**: monoclinic
! **N(E_F)**: 0.06 states/eV per atom
! **Energy**: -5.316 eV/atom
&SYSTEM
  ibrav = 0, nat = 19, ntyp = 4
/
ATOMIC_SPECIES
Zr 91.22 Zr.upf
Zn 65.41 Zn.upf
Ag 107.87 Ag.upf
F 19.00 F.upf
CELL_PARAMETERS angstrom
-0.0133 1.3289 -5.5388
-0.6400 -4.8490 -2.9193
-9.2788 1.0301 0.2096
ATOMIC_POSITIONS angstrom
Zr -2.4786 -2.9378 -7.5215
Zr -7.4535 0.4479 -0.7269
Zn -0.3267 -1.7600 -4.2290
Ag -3.8085 -0.6902 -2.5388
Ag -6.1236 -1.7998 -5.7096
F 0.0000 0.0000 0.0000
F -1.4688 -0.0716 -4.0337
F -1.7228 -2.5752 -2.9721
F -1.5016 -2.3296 -5.8535
F -2.7243 -0.0580 -0.7885
F -4.1570 -3.6065 -6.3869
F -3.9319 -1.3880 -7.3275
F -4.9661 -1.2450 -4.1242
F -6.0003 -1.1019 -0.9209
F -5.7752 1.1166 -1.8616
F -7.2079 -2.4320 -7.4600
F -8.4306 -0.1603 -2.3950
F -8.2094 0.0852 -5.2764
F -8.4634 -2.4184 -4.2148

What is the energy in the fourth record? -3.411 eV/atom